# 1
Compound: Cr3SiBi
Source: the Alexandria database
Functional: PBE-GGA
Structure: optimized geometry

POSCAR file:
```
Cr3SiBi
1.0
5.161 0.000 0.000
0.000 5.161 0.000
0.000 0.000 5.161
Cr Si Bi
3 1 1
direct
0.000 0.500 0.000
0.000 0.000 0.500
0.500 0.000 0.000
0.500 0.500 0.500
0.000 0.000 0.000
```

V   27.5 A^3/atom
Excess energy over the best structure of this formula in the dataset   4.885 eV per formula unit
Calculated density   4.75 g cm⁻³
Formation energy from raw total energies   7.973 eV/f.u.
Fermi-level density of states   2.36 states/eV per cell


# 2
Compound: Mg3ZnAu3
Source: the Alexandria database
Functional: PBE-GGA
Structure: optimized geometry

POSCAR file:
```
Mg3ZnAu3
1.0
5.270 -0.042 -1.834
-2.703 4.672 -1.912
0.024 -0.042 5.580
Mg Zn Au
3 1 3
direct
0.500 0.004 0.000
0.500 0.504 0.500
0.000 0.004 0.500
0.000 0.503 0.000
0.500 0.504 0.000
0.500 0.003 0.500
0.000 0.504 0.500
```

V   19.5 A^3/atom
Excess energy over the best structure of this formula in the dataset   0.000 eV per formula unit
Calculated density   8.88 g cm⁻³
Fermi-level density of states   2.76 states/eV per cell


# 3
Compound: Ho6In2O
Source: the Alexandria database
Functional: PBE-GGA
Structure: optimized geometry

POSCAR file:
```
Ho6In2O
1.0
-5.128 -1.304 -4.297
-6.157 -1.621 2.434
-5.165 4.410 -0.582
Ho In O
6 2 1
direct
0.253 0.253 0.747
0.253 0.748 0.252
0.747 0.252 0.748
0.748 0.253 0.252
0.252 0.747 0.748
0.747 0.747 0.253
0.250 0.250 0.250
0.750 0.750 0.750
0.500 0.500 0.500
```

V   24.9 A^3/atom
Calculated density   9.16 g cm⁻³
Formation energy from raw total energies   -7.797 eV/f.u.
Fermi-level density of states   7.97 states/eV per cell


# 4
Compound: ZrInIr4
Source: the Alexandria database
Functional: PBE-GGA
Structure: optimized geometry

POSCAR file:
```
ZrInIr4
1.0
0.000 3.721 3.721
3.721 0.000 3.721
3.721 3.721 0.000
Zr In Ir
1 1 4
direct
0.750 0.750 0.750
0.000 0.000 0.000
0.876 0.375 0.375
0.375 0.375 0.876
0.375 0.876 0.375
0.375 0.375 0.375
```

V   17.2 A^3/atom
Raw total energy   -0.298 hartree per atom
Calculated density   15.71 g cm⁻³
Fermi-level density of states   5.43 states/eV per cell


# 5
Compound: Rb5PtBrO2
Source: the Alexandria database
Functional: PBE-GGA
Structure: optimized geometry

POSCAR file:
```
Rb5PtBrO2
1.0
5.640 0.000 0.000
0.000 5.640 0.000
0.000 0.000 9.513
Rb Pt Br O
5 1 1 2
direct
0.000 0.000 0.500
0.000 0.500 0.792
0.500 0.000 0.208
0.000 0.500 0.208
0.500 0.000 0.792
0.000 0.000 0.000
0.500 0.500 0.500
0.000 0.000 0.219
0.000 0.000 0.781
```

V   33.6 A^3/atom
Calculated density   4.03 g cm⁻³
Formation energy from raw total energies   -9.093 eV/f.u.
Fermi-level density of states   12.67 states/eV per cell


# 6
Compound: Pr4Sm3Ag4
Source: the Alexandria database
Functional: PBE-GGA
Structure: optimized geometry

POSCAR file:
```
Pr4Sm3Ag4
1.0
3.739 0.000 0.000
0.000 9.526 0.000
-1.870 -4.763 9.150
Pr Sm Ag
4 3 4
direct
0.340 0.154 0.680
0.660 0.474 0.320
0.660 0.846 0.320
0.340 0.526 0.680
0.101 0.101 0.202
0.899 0.899 0.798
0.000 0.500 0.000
0.261 0.761 0.521
0.739 0.239 0.479
0.500 0.809 0.000
0.500 0.191 0.000
```

V   29.6 A^3/atom
Raw total energy   -0.153 hartree per atom
Calculated density   7.37 g cm⁻³
Fermi-level density of states   12.62 states/eV per cell


# 7
Compound: DyErHgOs
Source: the Alexandria database
Functional: PBE-GGA
Structure: optimized geometry

POSCAR file:
```
DyErHgOs
1.0
-3.787 -2.033 2.541
0.879 -3.638 3.305
-0.493 0.895 4.887
Dy Os Hg Er
1 1 1 1
direct
0.500 0.500 0.500
0.250 0.250 0.250
0.750 0.750 0.750
0.000 0.000 0.000
```

V   22.0 A^3/atom
Excess energy over the best structure of this formula in the dataset   0.494 eV per formula unit
Calculated density   13.59 g cm⁻³
Fermi-level density of states   3.44 states/eV per cell


# 8
Compound: OsAu2Cl
Source: the Alexandria database
Functional: PBE-GGA
Structure: optimized geometry

POSCAR file:
```
OsAu2Cl
1.0
4.614 0.000 0.000
0.000 3.902 0.000
0.000 0.000 3.902
Au Cl Os
2 1 1
direct
0.000 0.000 0.000
0.000 0.500 0.500
0.500 0.500 0.000
0.500 0.000 0.500
```

V   17.6 A^3/atom
Excess energy over the best structure of this formula in the dataset   2.530 eV per formula unit
Calculated density   14.65 g cm⁻³
Formation energy from raw total energies   4.519 eV/f.u.
Fermi-level density of states   3.92 states/eV per cell


# 9
Compound: CuOsW2
Source: the Alexandria database
Functional: PBE-GGA
Structure: optimized geometry

POSCAR file:
```
CuOsW2
1.0
-1.014 -4.555 -1.136
2.058 -1.209 -4.168
1.707 2.052 3.993
Cu Os W
1 1 2
direct
0.250 0.750 0.500
0.750 0.250 0.500
0.000 0.000 0.000
0.500 0.500 0.000
```

V   14.7 A^3/atom
Excess energy over the best structure of this formula in the dataset   0.289 eV per formula unit
Calculated density   17.52 g cm⁻³
Fermi-level density of states   3.46 states/eV per cell


# 10
Compound: Ho2Ga3Co
Source: the Alexandria database
Functional: PBE-GGA
Structure: optimized geometry

POSCAR file:
```
Ho2Ga3Co
1.0
-2.014 1.709 -2.450
-3.467 -0.568 2.454
1.368 6.559 3.450
Ho Ga Co
2 3 1
direct
0.000 0.500 0.026
0.000 0.000 0.483
0.500 0.000 0.835
0.500 0.000 0.175
0.500 0.500 0.653
0.500 0.500 0.327
```

V   19.4 A^3/atom
Raw total energy   -0.176 hartree per atom
Calculated density   8.53 g cm⁻³
Fermi-level density of states   4.29 states/eV per cell


# 11
Compound: NbRuO3
Source: the Alexandria database
Functional: PBE-GGA
Structure: optimized geometry

POSCAR file:
```
NbRuO3
1.0
3.986 0.000 0.000
0.000 3.986 0.000
0.000 0.000 3.986
Ru Nb O
1 1 3
direct
0.500 0.500 0.500
0.000 0.000 0.000
0.000 0.500 0.000
0.000 0.000 0.500
0.500 0.000 0.000
```

V   12.7 A^3/atom
Calculated density   6.35 g cm⁻³
Formation energy from raw total energies   -5.293 eV/f.u.
Fermi-level density of states   3.66 states/eV per cell


# 12
Compound: CrAgSb2
Source: the Alexandria database
Functional: PBE-GGA
Structure: optimized geometry

POSCAR file:
```
CrAgSb2
1.0
5.193 0.005 0.000
0.998 5.097 0.000
-3.096 -2.551 3.299
Ag Cr Sb
1 1 2
direct
0.250 0.750 0.500
0.750 0.250 0.500
0.000 0.000 0.000
0.500 0.500 0.000
```

V   21.8 A^3/atom
Excess energy over the best structure of this formula in the dataset   0.335 eV per formula unit
Calculated density   7.67 g cm⁻³
Formation energy from raw total energies   1.157 eV/f.u.
Fermi-level density of states   1.95 states/eV per cell


# 13
Compound: BeHgSe2N
Source: the Alexandria database
Functional: PBE-GGA
Structure: optimized geometry

POSCAR file:
```
BeHgSe2N
1.0
-0.077 -3.566 -4.094
3.954 -2.842 2.401
-2.075 -1.644 1.471
Be Hg Se N
1 1 2 1
direct
0.000 0.000 0.000
0.500 0.500 0.500
0.000 0.500 0.000
0.500 0.000 0.000
0.000 0.000 0.500
```

V   17.9 A^3/atom
Excess energy over the best structure of this formula in the dataset   0.000 eV per formula unit
Calculated density   7.10 g cm⁻³
Formation energy from raw total energies   2.238 eV/f.u.
Fermi-level density of states   3.14 states/eV per cell


# 14
Compound: LiTiH2
Source: the Alexandria database
Functional: PBE-GGA
Structure: optimized geometry

POSCAR file:
```
LiTiH2
1.0
0.000 2.504 2.504
2.504 0.000 2.504
2.504 2.504 0.000
H Li Ti
2 1 1
direct
0.250 0.250 0.250
0.750 0.750 0.750
0.000 0.000 0.000
0.500 0.500 0.500
```

V   7.9 A^3/atom
Excess energy over the best structure of this formula in the dataset   1.422 eV per formula unit
Calculated density   3.00 g cm⁻³
Fermi-level density of states   3.21 states/eV per cell


# 15
Compound: BiTe2I
Source: the Alexandria database
Functional: PBE-GGA
Structure: optimized geometry

POSCAR file:
```
BiTe2I
1.0
-6.931 -1.772 0.634
4.913 -3.783 0.435
0.414 1.558 8.879
Bi Te I
2 4 2
direct
0.993 0.513 0.250
0.007 0.487 0.750
0.394 0.726 0.005
0.394 0.726 0.495
0.606 0.274 0.995
0.606 0.274 0.505
0.011 0.026 0.250
0.989 0.974 0.750
```

V   40.0 A^3/atom
Excess energy over the best structure of this formula in the dataset   0.000 eV per formula unit
Calculated density   6.13 g cm⁻³
Formation energy from raw total energies   -0.636 eV/f.u.
Fermi-level density of states   3.75 states/eV per cell


# 16
Compound: TbAlZn
Source: the Alexandria database
Functional: PBE-GGA
Structure: optimized geometry

POSCAR file:
```
TbAlZn
1.0
-3.208 -3.132 -0.238
1.778 -4.840 -2.623
0.168 -3.718 4.317
Tb Al Zn
2 2 2
direct
0.531 0.216 0.723
0.469 0.784 0.277
0.165 0.378 0.291
0.835 0.622 0.709
0.836 0.208 0.120
0.164 0.792 0.880
```

V   20.9 A^3/atom
Raw total energy   -0.135 hartree per atom
Calculated density   6.67 g cm⁻³
Fermi-level density of states   3.96 states/eV per cell


# 17
Compound: RbNdCuCl6
Source: the Alexandria database
Functional: PBE-GGA
Structure: optimized geometry

POSCAR file:
```
RbNdCuCl6
1.0
7.317 0.041 0.427
3.707 5.587 0.170
0.434 -0.057 7.384
Rb Nd Cu Cl
1 1 1 6
direct
0.035 0.940 0.999
0.681 0.631 0.504
0.322 0.336 0.488
0.011 0.361 0.249
0.350 0.055 0.696
0.622 0.394 0.777
0.010 0.636 0.660
0.369 0.614 0.331
0.600 0.033 0.297
```

V   33.3 A^3/atom
Calculated density   2.80 g cm⁻³
Formation energy from raw total energies   -14.448 eV/f.u.


# 18
Compound: CaRe2Tc
Source: the Alexandria database
Functional: PBE-GGA
Structure: optimized geometry

POSCAR file:
```
CaRe2Tc
1.0
-2.051 1.315 -1.257
0.758 -2.164 -1.502
-6.308 -5.420 4.623
Re Ca Tc
2 1 1
direct
0.000 0.000 0.025
0.000 0.000 0.475
0.500 0.500 0.750
0.500 0.500 0.250
```

V   16.8 A^3/atom
Excess energy over the best structure of this formula in the dataset   0.449 eV per formula unit
Calculated density   12.58 g cm⁻³
Fermi-level density of states   4.68 states/eV per cell


# 19
Compound: CuIr
Source: the Alexandria database
Functional: PBE-GGA
Structure: optimized geometry

POSCAR file:
```
CuIr
1.0
3.856 0.000 0.000
1.928 3.340 0.000
-1.928 -1.113 3.149
Cu Ir
1 1
direct
0.000 0.000 0.000
0.750 0.750 0.250
```

V   20.3 A^3/atom
Raw total energy   -0.174 hartree per atom
Calculated density   10.47 g cm⁻³
Fermi-level density of states   3.78 states/eV per cell


# 20
Compound: AgAs2Os
Source: the Alexandria database
Functional: PBE-GGA
Structure: optimized geometry

POSCAR file:
```
AgAs2Os
1.0
4.474 -0.021 0.318
3.453 2.844 0.318
2.079 0.741 6.211
As Os Ag
2 1 1
direct
0.037 0.037 0.004
0.159 0.159 0.405
0.465 0.465 0.327
0.839 0.839 0.763
```

V   19.3 A^3/atom
Excess energy over the best structure of this formula in the dataset   0.000 eV per formula unit
Calculated density   9.62 g cm⁻³
Fermi-level density of states   2.07 states/eV per cell